# 1
Pr8ZnTe4Se3: optimized geometry, PBE.

```
Pr8ZnTe4Se3
1.0
-2.5518 6.8673 4.7635
-3.7338 -5.4986 5.9269
8.4341 -0.9996 -2.0562
Te Pr Se Zn
4 8 3 1
direct
0.0000 0.0000 0.5000
0.0000 0.0000 0.0000
0.5000 0.0000 0.0000
0.5000 0.0000 0.5000
0.7445 0.7274 0.9859
0.7586 0.2726 0.5171
0.2555 0.2726 0.0141
0.2594 0.2781 0.5187
0.2414 0.7274 0.4829
0.7586 0.2726 0.0141
0.7406 0.7219 0.4813
0.2414 0.7274 0.9859
0.0000 0.5000 0.5000
0.5000 0.5000 0.0000
0.5000 0.5000 0.5000
0.0000 0.5000 0.0000
```

ΔE_f (raw)   -1.465 eV per atom
D(E_F)   9.1 states/eV/cell
Space-group type   R-3m (166)



# 2
Pr4Th3Se8: optimized geometry, PBE.

```
Pr4Th3Se8
1.0
-7.1143 -3.2034 1.8010
-0.7084 -7.9242 0.9079
-0.9203 -2.9396 8.9371
Se Pr Th
8 4 3
direct
0.2483 0.7612 0.7423
0.7517 0.7517 0.2577
0.2401 0.2401 0.2796
0.7612 0.2483 0.7423
0.7599 0.7599 0.7204
0.2388 0.7517 0.2577
0.2483 0.2483 0.7423
0.7517 0.2388 0.2577
0.6461 0.6461 0.0616
0.0000 0.0000 0.0000
0.3539 0.3539 0.9384
0.5000 0.5000 0.5000
0.0000 0.5000 0.5000
0.0000 0.0000 0.5000
0.5000 0.0000 0.5000
```

ΔE_f (raw)   -1.482 eV per atom
D(E_F)   10.5 states/eV/cell
Space-group type   R-3m (166)



# 3
PrTh4Se5: optimized geometry, PBE.

```
PrTh4Se5
1.0
-0.3512 3.1670 -2.7801
-5.9077 0.0442 0.7968
4.2313 5.3494 8.7753
Th Se Pr
4 5 1
direct
0.6001 0.6001 0.2002
0.7980 0.7980 0.5959
0.2020 0.2020 0.4041
0.3999 0.3999 0.7998
0.8012 0.3012 0.6023
0.3986 0.8986 0.7972
0.6014 0.1014 0.2028
0.1988 0.6988 0.3977
0.0000 0.5000 0.0000
0.0000 0.0000 0.0000
```

ΔE_f (raw)   -1.603 eV per atom
D(E_F)   6.2 states/eV/cell
Space-group type   Immm (71)



# 4
PrTh6Se8: optimized geometry, PBE.

```
PrTh6Se8
1.0
7.2461 0.0000 4.1835
2.4154 6.8316 4.1835
0.0000 0.0000 8.3670
Se Th Pr
8 6 1
direct
0.7500 0.7500 0.7500
0.7397 0.2603 0.2603
0.2603 0.7397 0.7397
0.2500 0.2500 0.2500
0.7397 0.2603 0.7397
0.2603 0.2603 0.7397
0.2603 0.7397 0.2603
0.7397 0.7397 0.2603
0.0000 0.0000 0.5000
0.5000 0.0000 0.0000
0.0000 0.5000 0.0000
0.0000 0.5000 0.5000
0.5000 0.0000 0.5000
0.5000 0.5000 0.0000
0.0000 0.0000 0.0000
```

ΔE_f (raw)   -1.645 eV per atom
D(E_F)   7.9 states/eV/cell
Space-group type   Fm-3m (225)



# 5
Pr3Th5Se8: optimized geometry, PBE.

```
Pr3Th5Se8
1.0
1.2618 0.5295 8.3186
7.3071 -2.5707 3.3271
5.4596 5.6842 3.0819
Se Pr Th
8 3 5
direct
0.7494 0.2500 0.7506
0.2500 0.2500 0.7506
0.7500 0.7500 0.2494
0.2506 0.7500 0.2494
0.2500 0.7494 0.7506
0.7500 0.2506 0.2494
0.2507 0.2507 0.2480
0.7493 0.7493 0.7520
0.5000 0.0000 0.5000
0.0000 0.0000 0.5000
0.0000 0.5000 0.5000
0.5000 0.5000 0.5000
0.0000 0.5000 0.0000
0.0000 0.0000 0.0000
0.5000 0.0000 0.0000
0.5000 0.5000 0.0000
```

ΔE_f (raw)   -1.647 eV per atom
D(E_F)   7.9 states/eV/cell
Space-group type   R-3m (166)



# 6
Pr2Th3Se8: optimized geometry, PBE.

```
Pr2Th3Se8
1.0
7.0533 0.0000 0.2402
0.0000 8.5253 0.0000
-2.5866 -4.2627 7.0306
Pr Se Th
2 8 3
direct
0.3332 0.2564 0.5127
0.6668 0.7436 0.4873
0.9201 0.1217 0.2434
0.9074 0.6111 0.2222
0.5824 0.1140 0.7513
0.5824 0.6373 0.7513
0.0799 0.8783 0.7565
0.4176 0.3627 0.2487
0.4176 0.8860 0.2487
0.0926 0.3889 0.7778
0.5000 0.0000 0.0000
0.0000 0.7474 0.0000
0.0000 0.2526 0.0000
```

ΔE_f (raw)   -1.672 eV per atom
Energy relative to the lowest polymorph listed for this composition   0.028 eV per atom
D(E_F)   8.0 states/eV/cell
Space-group type   C2/m (12)



# 7
Pr5Th2Se12: optimized geometry, PBE.

```
Pr5Th2Se12
1.0
-0.3096 -0.8100 8.0118
3.9840 -6.8241 -4.5887
6.6930 6.8815 0.9543
Se Th Pr
12 2 5
direct
0.5029 0.0059 0.2225
0.0937 0.6344 0.8997
0.8925 0.2939 0.5616
0.9797 0.9593 0.1924
0.4013 0.2939 0.5616
0.4971 0.9941 0.7775
0.5407 0.6344 0.8997
0.5987 0.7061 0.4384
0.1075 0.7061 0.4384
0.4593 0.3656 0.1003
0.0203 0.0407 0.8076
0.9063 0.3656 0.1003
0.7484 0.0000 0.0000
0.2516 0.0000 0.0000
0.6873 0.3747 0.8247
0.3127 0.6253 0.1753
0.7082 0.4164 0.3678
0.0000 0.0000 0.5000
0.2918 0.5836 0.6322
```

ΔE_f (raw)   -1.679 eV per atom
D(E_F)   15.4 states/eV/cell
Space-group type   C2/m (12)



# 8
Pr2ThSe4: optimized geometry, PBE.

```
Pr2ThSe4
1.0
-2.5176 -5.8510 5.5913
-4.3851 -6.6982 -2.5600
3.6109 -7.5894 0.1078
Pr Se Th
4 8 2
direct
0.0000 0.0000 0.5000
0.0000 0.0000 0.0000
0.5000 0.0000 0.5000
0.0000 0.5000 0.5000
0.2543 0.7464 0.2464
0.7416 0.7543 0.7626
0.7416 0.2626 0.2543
0.7457 0.2536 0.7536
0.7529 0.7464 0.2464
0.2584 0.2457 0.2374
0.2471 0.2536 0.7536
0.2584 0.7374 0.7457
0.5000 0.5000 0.0000
0.0000 0.5000 0.0000
```

ΔE_f (raw)   -1.791 eV per atom
Energy relative to the lowest polymorph listed for this composition   0.000 eV per atom
D(E_F)   6.1 states/eV/cell
Space-group type   Imma (74)